--- i ---
KNi3Ge: relaxed, PBE.

The calculated volume comes out at 94 Å³ per cell. The magnetic moment comes out at 0.97 Bohr magnetons per cell.

Geometry as extended XYZ:
```
5
Lattice="-0.202 -4.032 2.105 3.282 -1.589 -2.727 3.150 1.396 2.977" Properties=species:S:1:pos:R:3 pbc="T T T"
Ni 1.641 -0.794 -1.364
Ni 1.575 0.698 1.488
Ni -0.101 -2.016 1.053
Ge 0.000 0.000 0.000
K 3.114 -2.112 1.177
```


--- ii ---
KNi3Ge: relaxed, PBE.

The calculated volume comes out at 92 Å³ per cell. The magnetic moment comes out at 0.00 Bohr magnetons per cell.

Geometry as extended XYZ:
```
5
Lattice="4.513 0.000 0.000 0.000 4.513 0.000 0.000 0.000 4.513" Properties=species:S:1:pos:R:3 pbc="T T T"
Ni 0.000 2.256 0.000
Ni 0.000 0.000 2.256
Ni 2.256 0.000 0.000
Ge 2.256 2.256 2.256
K 0.000 0.000 0.000
```


On energetic grounds, i is preferred over the next structure by 141.8 kJ/mol of atoms.


--- i ---
K4GeO4: relaxed, PBE.

The calculated volume comes out at 332 Å³ per cell. The magnetic moment comes out at 0.00 Bohr magnetons per cell.

Geometry as extended XYZ:
```
18
Lattice="-1.030 1.393 5.784 -4.551 -5.830 0.594 5.722 -4.258 2.044" Properties=species:S:1:pos:R:3 pbc="T T T"
K 4.044 -5.375 4.413
K 1.295 -5.021 6.990
K -3.656 -3.653 2.627
K 1.749 -3.231 1.843
K -1.083 -8.021 5.644
K -0.824 -6.524 2.178
K -1.937 -2.614 5.834
K 0.978 -0.341 4.161
Ge 0.000 0.000 0.000
Ge 0.071 -4.348 4.211
O -1.007 -5.253 5.339
O 0.788 -2.955 5.106
O -0.136 -9.005 3.246
O 3.975 -4.257 6.934
O -4.503 -3.532 5.250
O -0.877 -3.751 2.797
O 1.378 -5.431 3.603
O 0.947 -0.596 1.414
```


--- ii ---
K4GeO4: relaxed, PBE.

The calculated volume comes out at 700 Å³ per cell. The magnetic moment comes out at 0.46 Bohr magnetons per cell.

Geometry as extended XYZ:
```
36
Lattice="-0.606 -6.620 -0.267 10.413 -1.021 1.698 2.198 -0.621 10.413" Properties=species:S:1:pos:R:3 pbc="T T T"
K 9.998 -2.347 3.632
K 11.027 -3.422 8.808
K 8.523 -5.256 10.457
K 4.490 -6.586 2.518
K 6.225 -3.463 4.035
K 7.516 -1.676 9.327
K 5.781 -4.799 7.809
K 2.159 -1.462 4.244
K 8.852 -5.345 2.441
K 9.847 -6.800 7.601
K 3.153 -2.917 9.404
K 7.249 -6.847 5.174
K 3.483 -3.007 1.387
K 4.756 -1.415 6.671
K 0.978 -4.841 3.037
K 2.007 -5.915 8.213
Ge 3.374 -4.754 5.396
Ge 8.631 -3.508 6.449
Ge 4.331 -6.622 10.540
Ge 7.674 -1.640 1.305
O 4.717 -0.836 9.232
O 7.070 -2.618 6.468
O 6.028 -6.031 10.580
O 2.371 -0.489 1.774
O 8.802 -4.550 4.981
O 9.634 -7.773 10.070
O 3.203 -3.712 6.864
O 1.034 -4.577 0.268
O 9.970 -2.300 6.413
O 10.971 -3.685 11.577
O 2.035 -5.962 5.431
O 3.321 -3.771 3.895
O 4.936 -5.645 5.377
O 7.288 -7.426 2.613
O 8.685 -4.491 7.950
O 5.977 -2.231 1.264
```


On energetic grounds, ii is preferred over the next structure by 3.1 kJ/mol of atoms.


--- i ---
K4GeO4: relaxed, PBE.

The calculated volume comes out at 351 Å³ per cell. The magnetic moment comes out at 0.24 Bohr magnetons per cell.

Geometry as extended XYZ:
```
18
Lattice="6.859 0.219 -0.185 3.048 5.976 -0.106 1.459 2.403 8.653" Properties=species:S:1:pos:R:3 pbc="T T T"
K 8.109 6.202 2.913
K 3.257 2.396 5.449
K 4.938 5.612 7.357
K 6.427 2.986 1.005
K 9.674 8.333 7.952
K 1.691 0.265 0.410
K 4.523 5.631 3.764
K 6.843 2.966 4.598
Ge 3.248 2.873 2.076
Ge 8.117 5.724 6.286
O 4.605 3.043 3.252
O 6.761 5.555 5.110
O 9.587 6.412 5.504
O 1.779 2.186 2.858
O 7.496 6.897 7.509
O 3.870 1.701 0.853
O 8.477 4.121 7.026
O 2.888 4.476 1.337
```


--- ii ---
K4GeO4: relaxed, PBE.

The calculated volume comes out at 182 Å³ per cell. The magnetic moment comes out at 0.00 Bohr magnetons per cell.

Geometry as extended XYZ:
```
9
Lattice="-1.648 -2.746 4.088 4.751 -1.793 4.008 -1.532 3.639 5.125" Properties=species:S:1:pos:R:3 pbc="T T T"
K 0.176 -0.250 9.798
K 1.395 -0.651 3.423
K -1.058 0.081 6.225
K 2.629 -0.982 6.997
Ge 0.000 0.000 0.000
O -0.212 -2.111 5.093
O 1.784 1.210 8.128
O 2.072 -3.090 8.654
O -0.500 2.190 4.568
```


On energetic grounds, i is preferred over the next structure by 28.7 kJ/mol of atoms.


--- i ---
KGe3O: relaxed, PBE.

The calculated volume comes out at 180 Å³ per cell. The magnetic moment comes out at 0.00 Bohr magnetons per cell.

Geometry as extended XYZ:
```
5
Lattice="-4.812 2.953 0.015 -1.878 -3.038 -4.372 -2.279 -3.732 3.572" Properties=species:S:1:pos:R:3 pbc="T T T"
Ge -0.939 -1.519 -2.186
Ge -1.140 -1.866 1.786
Ge -2.406 1.477 0.007
K 0.000 0.000 0.000
O -4.485 -1.908 -0.393
```


--- ii ---
KGe3O: relaxed, PBE.

The calculated volume comes out at 104 Å³ per cell. The magnetic moment comes out at 0.00 Bohr magnetons per cell.

Geometry as extended XYZ:
```
5
Lattice="-0.175 -2.620 3.894 3.627 -2.548 -1.552 2.978 2.950 2.118" Properties=species:S:1:pos:R:3 pbc="T T T"
Ge 1.814 -1.274 -0.776
Ge 1.489 1.475 1.059
Ge -0.087 -1.310 1.947
K 3.215 -1.109 2.230
O 0.000 0.000 0.000
```


On energetic grounds, ii is preferred over the next structure by 191.5 kJ/mol of atoms.


--- i ---
KTaGeO5: relaxed, PBE.

The calculated volume comes out at 1025 Å³ per cell. The magnetic moment comes out at 0.00 Bohr magnetons per cell.

Geometry as extended XYZ:
```
64
Lattice="6.753 0.000 0.000 0.000 11.160 0.000 0.000 0.000 13.604" Properties=species:S:1:pos:R:3 pbc="T T T"
K 5.224 7.819 5.072
K 1.956 4.883 12.108
K 1.421 4.883 5.306
K 4.797 10.463 1.496
K 1.848 2.239 1.730
K 4.905 7.819 11.874
K 1.528 2.239 8.532
K 5.332 10.463 8.298
Ta 1.754 8.406 3.321
Ta 4.999 2.826 10.283
Ta 1.622 8.406 10.123
Ta 3.404 0.000 5.213
Ta 3.348 5.580 8.391
Ta 6.725 0.000 12.015
Ta 0.028 5.580 1.589
Ta 5.130 2.826 3.481
Ge 4.564 2.765 6.859
Ge 1.187 8.345 13.547
Ge 5.565 2.765 0.057
Ge 3.418 5.552 2.475
Ge 3.335 11.132 11.129
Ge 6.711 5.552 9.277
Ge 2.189 8.345 6.745
Ge 0.041 11.132 4.327
O 6.334 1.365 10.701
O 0.419 6.945 2.903
O 3.795 1.365 3.899
O 2.958 6.945 9.705
O 3.076 9.747 3.817
O 3.677 4.167 9.787
O 0.301 9.747 10.619
O 6.452 4.167 2.985
O 3.617 1.376 10.093
O 3.136 6.956 3.511
O 6.512 1.376 3.291
O 0.240 6.956 10.313
O 0.282 9.755 3.226
O 6.470 4.175 10.378
O 3.094 9.755 10.028
O 1.191 8.602 8.184
O 3.658 4.175 3.576
O 4.829 5.874 1.476
O 1.453 0.294 5.326
O 5.300 5.874 8.278
O 5.398 10.713 5.312
O 1.354 5.133 8.292
O 4.730 10.713 12.114
O 2.022 5.133 1.490
O 3.351 9.650 6.585
O 3.401 4.070 7.019
O 0.025 9.650 13.387
O 6.728 4.070 0.217
O 6.506 1.267 13.530
O 0.247 6.847 0.074
O 3.623 1.267 6.728
O 3.129 6.847 6.876
O 1.218 8.132 5.282
O 5.535 2.552 8.322
O 2.159 8.132 12.084
O 4.594 2.552 1.520
O 4.568 3.022 12.222
O 2.185 8.602 1.382
O 5.561 3.022 5.420
O 1.923 0.294 12.128
```


--- ii ---
KTaGeO5: relaxed, PBE.

The calculated volume comes out at 228 Å³ per cell. The magnetic moment comes out at 0.00 Bohr magnetons per cell.

Geometry as extended XYZ:
```
16
Lattice="-5.302 -0.697 2.422 3.584 -3.347 3.227 1.998 7.168 1.534" Properties=species:S:1:pos:R:3 pbc="T T T"
K 1.168 -0.686 3.347
K -0.888 3.809 3.837
Ta 0.999 3.584 0.767
Ta 0.000 0.000 0.000
Ge -2.028 0.267 3.057
Ge 2.309 2.856 4.126
O 3.612 -1.415 3.568
O -3.332 4.538 3.616
O -3.437 -0.809 3.224
O 3.717 3.933 3.959
O -2.574 1.927 2.713
O 2.855 1.196 4.471
O -1.035 0.192 4.534
O 1.315 2.931 2.649
O -0.926 -0.283 1.770
O 1.207 3.406 5.414
```


On energetic grounds, i is preferred over the next structure by 3.1 kJ/mol of atoms.


--- i ---
K2GeOs: relaxed, PBE.

The calculated volume comes out at 114 Å³ per cell. The magnetic moment comes out at 1.54 Bohr magnetons per cell.

Geometry as extended XYZ:
```
4
Lattice="2.880 0.169 4.612 2.862 4.452 1.258 -1.608 3.200 4.095" Properties=species:S:1:pos:R:3 pbc="T T T"
Ge 0.000 0.000 0.000
Os 2.067 3.911 4.983
K 1.034 1.955 2.492
K 3.101 5.866 7.475
```


--- ii ---
K2GeOs: relaxed, PBE.

The calculated volume comes out at 378 Å³ per cell. The magnetic moment comes out at 1.33 Bohr magnetons per cell.

Geometry as extended XYZ:
```
8
Lattice="12.719 0.000 0.000 0.000 12.719 0.000 6.359 6.359 2.335" Properties=species:S:1:pos:R:3 pbc="T T T"
Ge 6.359 6.359 0.000
Ge 6.359 12.719 1.168
Os 0.000 0.000 0.000
Os 12.719 6.359 1.168
K 12.780 3.180 0.584
K 12.658 9.539 0.584
K 9.539 6.298 1.751
K 15.899 6.421 1.751
```


On energetic grounds, ii is preferred over the next structure by 85.9 kJ/mol of atoms.


--- i ---
KGeOs2: relaxed, PBE.

The calculated volume comes out at 66 Å³ per cell. The magnetic moment comes out at 0.00 Bohr magnetons per cell.

Geometry as extended XYZ:
```
4
Lattice="0.000 3.208 3.208 3.208 0.000 3.208 3.208 3.208 0.000" Properties=species:S:1:pos:R:3 pbc="T T T"
Ge 3.208 3.208 3.208
Os 1.604 1.604 1.604
Os 4.811 4.811 4.811
K 0.000 0.000 0.000
```


--- ii ---
KGeOs2: relaxed, PBE.

The calculated volume comes out at 205 Å³ per cell. The magnetic moment comes out at 0.00 Bohr magnetons per cell.

Geometry as extended XYZ:
```
8
Lattice="4.861 0.000 0.000 0.000 4.861 0.000 2.431 2.431 8.660" Properties=species:S:1:pos:R:3 pbc="T T T"
Ge 0.000 0.000 0.000
Ge 4.861 2.431 4.330
Os 4.957 1.215 2.165
Os 4.766 3.646 2.165
Os 3.646 2.335 6.495
Os 6.077 2.526 6.495
K 2.431 2.431 0.000
K 2.431 4.861 4.330
```


On energetic grounds, ii is preferred over the next structure by 58.2 kJ/mol of atoms.